VASP calculation (GGA-PBE) on a relaxed NaThIrO4 crystal.

a = 6.4926 Å, b = 6.4926 Å, c = 6.4926 Å
α = 117.09°, β = 109.60°, γ = 102.07°
Last column: nearest neighbours and their distance in Å.
Positions (direct):
Na1 0.3445 0.0945 0.2500  2 O 2.14
Na2 0.6555 0.9055 0.7500  2 O 2.14
Th1 0.0000 0.5000 0.5000  6 O 2.32-2.36
Th2 0.5000 0.5000 0.0000  6 O 2.32-2.36
Ir1 0.0000 0.0000 0.5000  6 O 2.12-2.15
Ir2 0.0000 0.5000 0.0000  6 O 2.12-2.15
O1 0.1432 0.2200 0.9232  2 Ir 2.15, 1 Th 2.36
O2 0.2032 0.7800 0.4232  2 Ir 2.15, 1 Th 2.36
O3 0.2568 0.3041 0.5473  1 Ir 2.12, 1 Na 2.14, 2 Th 2.32
O4 0.2568 0.7095 0.9527  1 Ir 2.12, 1 Na 2.14, 2 Th 2.32
O5 0.7432 0.2905 0.0473  1 Ir 2.12, 1 Na 2.14, 2 Th 2.32
O6 0.7432 0.6959 0.4527  1 Ir 2.12, 1 Na 2.14, 2 Th 2.32
O7 0.7968 0.2200 0.5768  2 Ir 2.15, 1 Th 2.36
O8 0.8568 0.7800 0.0768  2 Ir 2.15, 1 Th 2.36

Properties
DFT total energy = -7.40 eV/atom
Uncorrected formation energy = -2050 meV/atom
Space-group type = Imma

VASP calculation (GGA-PBE) on a relaxed Th6TcSb2 crystal.

a = 8.6973 Å, b = 8.6973 Å, c = 3.9871 Å
α = 90.00°, β = 90.00°, γ = 120.00°
Last column: nearest neighbours and their distance in Å.
Positions (direct):
Th1 0.0000 0.4121 0.0000  4 Sb 3.30, 1 Tc 3.58, 2 Th 3.60
Th2 0.0000 0.7565 0.5000  2 Tc 2.91
Th3 0.2435 0.2435 0.5000  2 Tc 2.91
Th4 0.4121 0.0000 0.0000  4 Sb 3.30, 1 Tc 3.58, 2 Th 3.60
Th5 0.5879 0.5879 0.0000  4 Sb 3.30, 1 Tc 3.58, 2 Th 3.60
Th6 0.7565 0.0000 0.5000  2 Tc 2.91
Tc1 0.0000 0.0000 0.0000  6 Th 2.91
Sb1 0.3333 0.6667 0.5000  9 Th 3.30-3.36
Sb2 0.6667 0.3333 0.5000  9 Th 3.30-3.36

Properties
DFT total energy = -7.54 eV/atom
Uncorrected formation energy = -523 meV/atom
Space-group type = P-62m
Energy above the lowest structure with this stoichiometry = 0.0 meV per atom